(1)
Here is an optimized crystal structure of Sm3Fe7Co2 from Alexandria. Energies are from GGA-PBE.

Computed properties:
Total moment ... 51.4 μB/cell
Energy of formation from the pure elements ... -0.02 eV/atom
E_tot ... -7.3163 eV per atom

Cell lengths 5.1383, 5.1383, 24.6960 Å; angles 90.00, 90.00, 120.00 degrees
Space group R-3m (No. 166, hexagonal axes)
One atom of each set of equivalent atoms:
Sm: 0.0000 0.0000 0.0000
Sm: 0.0000 0.0000 0.1422
Fe: 0.0000 0.0000 0.5000
Fe: 0.0035 0.5017 0.0803
Co: 0.0000 0.0000 0.3318



(2)
Here is an optimized crystal structure of SmFeCo10 from Alexandria. Energies are from GGA-PBE.

Computed properties:
Total moment ... 19.1 μB/cell
Energy of formation from the pure elements ... 0.10 eV/atom
E_tot ... -6.9167 eV per atom

Cell lengths 4.0335, 4.7298, 8.3558 Å; angles 90.00, 90.00, 90.00 degrees
Space group Pmmm (No. 47)
One atom of each set of equivalent atoms:
Sm: 0.0000 0.0000 0.0000
Fe: 0.0000 0.5000 0.5000
Co: 0.0000 0.0000 0.3520
Co: 0.0000 0.5000 0.2061
Co: 0.5000 0.0000 0.5000
Co: 0.5000 0.2534 0.2581
Co: 0.5000 0.5000 0.0000



(3)
Here is an optimized crystal structure of Sm3FeCo8 from Alexandria. Energies are from GGA-PBE.

Computed properties:
Total moment ... 36.3 μB/cell
Energy of formation from the pure elements ... -0.02 eV/atom
E_tot ... -6.6449 eV per atom

Cell lengths 5.0228, 5.0228, 24.6622 Å; angles 90.00, 90.00, 120.00 degrees
Space group R3m (No. 160, hexagonal axes)
One atom of each set of equivalent atoms:
Sm: 0.0000 0.0000 0.0000
Sm: 0.0000 0.0000 0.1281
Sm: 0.0000 0.0000 0.6177
Fe: 0.0000 0.0000 0.4952
Co: 0.0000 0.0000 0.3125
Co: 0.0000 0.0000 0.8130
Co: 0.0062 0.5031 0.0655
Co: 0.1683 0.3366 0.8920



(4)
Here is an optimized crystal structure of Sm2Fe4Co13 from Alexandria. Energies are from GGA-PBE.

Computed properties:
Total moment ... 85.5 μB/cell
Energy of formation from the pure elements ... -0.08 eV/atom
E_tot ... -7.2173 eV per atom

Cell lengths 8.3744, 8.3744, 12.2582 Å; angles 90.00, 90.00, 120.00 degrees
Space group R3m (No. 160, hexagonal axes)
One atom of each set of equivalent atoms:
Sm: 0.0000 0.0000 0.0000
Sm: 0.0000 0.0000 0.3135
Fe: 0.0000 0.0000 0.7500
Fe: 0.0045 0.5022 0.1564
Co: 0.0000 0.0000 0.5603
Co: 0.9999 0.2870 0.6565
Co: 0.0017 0.5008 0.5015
Co: 0.0017 0.5008 0.8127



(5)
Here is an optimized crystal structure of Sm2Fe2Co15 from Alexandria. Energies are from GGA-PBE.

Computed properties:
Total moment ... 80.2 μB/cell
Energy of formation from the pure elements ... -0.08 eV/atom
E_tot ... -7.0816 eV per atom

Cell lengths 8.3663, 8.3663, 12.1407 Å; angles 90.00, 90.00, 120.00 degrees
Space group R-3m (No. 166, hexagonal axes)
One atom of each set of equivalent atoms:
Sm: 0.0000 0.0000 0.1544
Fe: 0.0000 0.0000 0.4021
Co: 0.0000 0.2870 0.5000
Co: 0.0000 0.5000 0.0000
Co: 0.0034 0.5017 0.3464



(6)
Here is an optimized crystal structure of SmFe2Co from Alexandria. Energies are from GGA-PBE.

Computed properties:
Total moment ... 49.4 μB/cell
Energy of formation from the pure elements ... -0.04 eV/atom
E_tot ... -7.2240 eV per atom

Cell lengths 5.1322, 5.1322, 24.6605 Å; angles 90.00, 90.00, 120.00 degrees
Space group R-3m (No. 166, hexagonal axes)
One atom of each set of equivalent atoms:
Sm: 0.0000 0.0000 0.0000
Sm: 0.0000 0.0000 0.1423
Fe: 0.0026 0.5013 0.0806
Co: 0.0000 0.0000 0.3313
Co: 0.0000 0.0000 0.5000



(7)
Here is an optimized crystal structure of SmFeCo2 from Alexandria. Energies are from GGA-PBE.

Computed properties:
Total moment ... 12.6 μB/cell
Energy of formation from the pure elements ... -0.04 eV/atom
Polymorph energy (0 for the lowest one) ... 0.0 meV/atom
E_tot ... -6.8897 eV per atom

Cell lengths 4.0248, 4.0248, 14.5865 Å; angles 90.00, 90.00, 120.00 degrees
Space group R-3m (No. 166, hexagonal axes)
One atom of each set of equivalent atoms:
Sm: 0.0000 0.0000 0.0000
Fe: 0.0000 0.0000 0.5000
Co: 0.0000 0.0000 0.1940



(8)
Here is an optimized crystal structure of SmFe4Co from Alexandria. Energies are from GGA-PBE.

Computed properties:
Total moment ... 45.3 μB/cell
Energy of formation from the pure elements ... 0.13 eV/atom
E_tot ... -7.4860 eV per atom

Cell lengths 7.0518, 7.0518, 7.0518 Å; angles 90.00, 90.00, 90.00 degrees
Space group F-43m (No. 216)
One atom of each set of equivalent atoms:
Sm: 0.0000 0.0000 0.0000
Fe: 0.1242 0.1242 0.6242
Co: 0.2500 0.2500 0.2500